# SnP6W3O24

SnP6W3O24 after structural relaxation (PBE with a Hubbard U, Alexandria via LeMat-Bulk).

The structure in POSCAR format:
```
SnP6W3O24
1.0
4.4032 2.5422 7.4022
-4.4032 2.5422 7.4022
0.0000 -5.0844 7.4022
Sn P W O
1 6 3 24
direct
0.0000 0.0000 0.0000
0.1085 0.3921 0.8199
0.3170 0.8937 0.6108
0.3921 0.8199 0.1085
0.6108 0.3170 0.8937
0.8199 0.1085 0.3921
0.8937 0.6108 0.3170
0.2154 0.2154 0.2154
0.5005 0.5005 0.5005
0.7133 0.7133 0.7133
0.0723 0.4462 0.2909
0.0961 0.2197 0.8372
0.1339 0.3701 0.9865
0.1476 0.8979 0.7871
0.2197 0.8372 0.0961
0.2738 0.4330 0.6402
0.2909 0.0723 0.4462
0.3550 0.7293 0.5656
0.3701 0.9865 0.1339
0.4330 0.6402 0.2738
0.4462 0.2909 0.0723
0.4878 0.8615 0.6422
0.5656 0.3550 0.7293
0.5659 0.7920 0.9343
0.6402 0.2738 0.4330
0.6422 0.4878 0.8615
0.7293 0.5656 0.3550
0.7871 0.1476 0.8979
0.7920 0.9343 0.5659
0.8372 0.0961 0.2197
0.8615 0.6422 0.4878
0.8979 0.7871 0.1476
0.9343 0.5659 0.7920
0.9865 0.1339 0.3701
```

Computed properties:
symmetry: R3
electronic total energy: -0.2688 Ha/atom